1.
DFT (PBE) results for a relaxed structure of BaHoMgS3.

Cell lengths 4.0529, 14.0310, 10.4647 Å; angles 90.00, 90.00, 90.00 degrees
Space group Cmcm (No. 63)
Unique sites:
Ba  0.0000  0.2449  0.2500 (multiplicity 4)
Ho  0.0000  0.5000  0.0000 (multiplicity 4)
Mg  0.0000  0.0315  0.7500 (multiplicity 4)
S  0.0000  0.1316  0.5636 (multiplicity 8)
S  0.0000  0.4338  0.7500 (multiplicity 4)

Computed properties:
As for the total magnetization: 0.1 μB/f.u.

2.
DFT (PBE) results for a relaxed structure of KHfCo.

Cell lengths 6.4432, 6.4432, 6.4432 Å; angles 90.00, 90.00, 90.00 degrees
Space group F-43m (No. 216)
Unique sites:
K  0.0000  0.0000  0.0000 (multiplicity 4)
Hf  0.2500  0.2500  0.2500 (multiplicity 4)
Co  0.2500  0.2500  0.7500 (multiplicity 4)

Computed properties:
The energy above the lowest structure with this stoichiometry comes out at 3.173 eV per formula unit. As for the total magnetization: 0.4 μB/f.u.

3.
DFT (PBE) results for a relaxed structure of HfAl2Tc2.

Cell lengths 3.8291, 3.8291, 11.5131 Å; angles 90.00, 90.00, 90.00 degrees
Space group I4/mmm (No. 139)
Unique sites:
Hf  0.0000  0.0000  0.0000 (multiplicity 2)
Al  0.0000  0.0000  0.3952 (multiplicity 4)
Tc  0.0000  0.5000  0.2500 (multiplicity 4)

Computed properties:
As for the total magnetization: 0.3 μB/f.u.

4.
DFT (PBE) results for a relaxed structure of ScMoIr2.

Cell lengths 6.3229, 6.3229, 6.3229 Å; angles 90.00, 90.00, 90.00 degrees
Space group F-43m (No. 216)
Unique sites:
Sc  0.0000  0.0000  0.0000 (multiplicity 4)
Mo  0.2500  0.2500  0.2500 (multiplicity 4)
Ir  0.0000  0.0000  0.5000 (multiplicity 4)
Ir  0.2500  0.2500  0.7500 (multiplicity 4)

Computed properties:
For the energy of formation, the calculation gives -0.154 eV per atom. As for the total magnetization: 0.9 μB/f.u.

5.
DFT (PBE) results for a relaxed structure of Pm3NdAl8.

Cell lengths 5.6694, 5.6694, 27.7741 Å; angles 90.00, 90.00, 120.00 degrees
Space group R3m (No. 160, hexagonal axes)
Unique sites:
Pm  0.0000  0.0000  0.0000 (multiplicity 3)
Pm  0.0000  0.0000  0.1249 (multiplicity 3)
Pm  0.0000  0.0000  0.5000 (multiplicity 3)
Nd  0.0000  0.0000  0.6250 (multiplicity 3)
Al  0.0000  0.0000  0.3125 (multiplicity 3)
Al  0.0000  0.0000  0.8124 (multiplicity 3)
Al  0.0002  0.5001  0.0627 (multiplicity 9)
Al  0.9999  0.4999  0.5622 (multiplicity 9)

Computed properties:
As for the total magnetization: 0.2 μB/f.u.

6.
DFT (PBE) results for a relaxed structure of CdPOsO.

Cell lengths 3.5219, 3.5219, 9.8784 Å; angles 90.00, 90.00, 90.00 degrees
Space group P4/nmm (No. 129, origin choice 2)
Unique sites:
Cd  0.2500  0.7500  0.0000 (multiplicity 2)
P  0.2500  0.2500  0.2671 (multiplicity 2)
Os  0.2500  0.2500  0.6314 (multiplicity 2)
O  0.2500  0.7500  0.5000 (multiplicity 2)

Computed properties:
The energy above the lowest structure with this stoichiometry comes out at 3.372 eV per formula unit. As for the total magnetization: 0.0 μB/f.u.

7.
DFT (PBE) results for a relaxed structure of TmSiGe.

Cell lengths 6.5988, 6.5988, 6.5988 Å; angles 90.00, 90.00, 90.00 degrees
Space group F-43m (No. 216)
Unique sites:
Tm  0.0000  0.0000  0.0000 (multiplicity 4)
Si  0.2500  0.2500  0.2500 (multiplicity 4)
Ge  0.2500  0.2500  0.7500 (multiplicity 4)

Computed properties:
The energy above the lowest structure with this stoichiometry comes out at 0.276 eV per formula unit. As for the total magnetization: 0.0 μB/f.u.

8.
DFT (PBE) results for a relaxed structure of PmFeCo.

Cell lengths 6.1537, 6.1537, 6.1537 Å; angles 90.00, 90.00, 90.00 degrees
Space group F-43m (No. 216)
Unique sites:
Pm  0.0000  0.0000  0.0000 (multiplicity 4)
Fe  0.2500  0.2500  0.7500 (multiplicity 4)
Co  0.0000  0.0000  0.5000 (multiplicity 4)

Computed properties:
The energy above the lowest structure with this stoichiometry comes out at 0.000 eV per formula unit. For the energy of formation, the calculation gives 0.485 eV per atom. As for the total magnetization: 3.5 μB/f.u.

9.
DFT (PBE) results for a relaxed structure of ThTc2.

Cell lengths 5.2815, 5.2815, 9.7131 Å; angles 90.00, 90.00, 120.00 degrees
Space group P6_3/mmc (No. 194)
Unique sites:
Th  0.3333  0.6667  0.0637 (multiplicity 4)
Tc  0.0000  0.0000  0.0000 (multiplicity 2)
Tc  0.1694  0.3389  0.7500 (multiplicity 6)

Computed properties:
The energy above the lowest structure with this stoichiometry comes out at 0.000 eV per formula unit. For the energy of formation, the calculation gives -0.141 eV per atom. As for the total magnetization: 0.0 μB/f.u.

10.
DFT (PBE) results for a relaxed structure of Pm2PrP3.

Cell lengths 4.1538, 4.1538, 10.1744 Å; angles 90.00, 90.00, 120.00 degrees
Space group P-3m1 (No. 164)
Unique sites:
Pm  0.3333  0.6667  0.3354 (multiplicity 2)
Pr  0.0000  0.0000  0.0000 (multiplicity 1)
P  0.0000  0.0000  0.5000 (multiplicity 1)
P  0.3333  0.6667  0.8290 (multiplicity 2)

Computed properties:
As for the total magnetization: 0.0 μB/f.u.

11.
DFT (PBE) results for a relaxed structure of DyCuSe2.

Cell lengths 4.0897, 4.0897, 6.4282 Å; angles 90.00, 90.00, 120.00 degrees
Space group P3m1 (No. 156)
Unique sites:
Dy  0.0000  0.0000  0.0000 (multiplicity 1)
Cu  0.3333  0.6667  0.6175 (multiplicity 1)
Se  0.3333  0.6667  0.2382 (multiplicity 1)
Se  0.6667  0.3333  0.7272 (multiplicity 1)

Computed properties:
As for the total magnetization: 0.0 μB/f.u.

12.
DFT (PBE) results for a relaxed structure of RbHg3GeSe4.

Cell lengths 7.3967, 7.9290, 10.1537 Å; angles 90.00, 97.68, 90.00 degrees
Space group P2_1/m (No. 11)
Unique sites:
Rb  0.1851  0.2500  0.1103 (multiplicity 2)
Hg  0.2389  0.5582  0.5111 (multiplicity 4)
Hg  0.4386  0.2500  0.7419 (multiplicity 2)
Ge  0.0511  0.7500  0.2955 (multiplicity 2)
Se  0.1617  0.0138  0.7705 (multiplicity 4)
Se  0.2428  0.7500  0.1198 (multiplicity 2)
Se  0.3949  0.2500  0.4632 (multiplicity 2)

Computed properties:
The energy above the lowest structure with this stoichiometry comes out at 0.000 eV per formula unit.

13.
DFT (PBE) results for a relaxed structure of KCd4As2P.

Cell lengths 4.4956, 4.4956, 35.7885 Å; angles 90.00, 90.00, 120.00 degrees
Space group R-3m (No. 166, hexagonal axes)
Unique sites:
K  0.0000  0.0000  0.0000 (multiplicity 3)
Cd  0.0000  0.0000  0.1970 (multiplicity 6)
Cd  0.0000  0.0000  0.4125 (multiplicity 6)
As  0.0000  0.0000  0.2721 (multiplicity 6)
P  0.0000  0.0000  0.5000 (multiplicity 3)

14.
DFT (PBE) results for a relaxed structure of NdGdC2I2.

Cell lengths 7.4592, 3.9968, 11.3752 Å; angles 90.00, 100.34, 90.00 degrees
Space group Cm (No. 8)
Unique sites:
Nd  0.0000  0.0000  0.0000 (multiplicity 2)
Gd  0.3018  0.5000  0.2553 (multiplicity 2)
C  0.3174  0.0000  0.1058 (multiplicity 2)
C  0.4892  0.0000  0.1612 (multiplicity 2)
I  0.1093  0.5000  0.8052 (multiplicity 2)
I  0.1928  0.0000  0.4431 (multiplicity 2)

Computed properties:
As for the total magnetization: 0.0 μB/f.u.

15.
DFT (PBE) results for a relaxed structure of Sm2MgS3.

Cell lengths 3.8788, 3.8788, 9.7756 Å; angles 90.00, 90.00, 120.00 degrees
Space group P-3m1 (No. 164)
Unique sites:
Sm  0.3333  0.6667  0.1637 (multiplicity 2)
Mg  0.0000  0.0000  0.5000 (multiplicity 1)
S  0.0000  0.0000  0.0000 (multiplicity 1)
S  0.3333  0.6667  0.6462 (multiplicity 2)

Computed properties:
As for the total magnetization: 0.0 μB/f.u.

16.
DFT (PBE) results for a relaxed structure of SmYAlTe3.

Cell lengths 4.1467, 15.4452, 10.5072 Å; angles 90.00, 90.00, 90.00 degrees
Space group Cmcm (No. 63)
Unique sites:
Sm  0.0000  0.2197  0.2500 (multiplicity 4)
Y  0.0000  0.0000  0.0000 (multiplicity 4)
Al  0.0000  0.4763  0.7500 (multiplicity 4)
Te  0.0000  0.1198  0.7500 (multiplicity 4)
Te  0.0000  0.3491  0.5453 (multiplicity 8)

Computed properties:
As for the total magnetization: 0.0 μB/f.u.

| no. | E (eV/atom) |
| --- | --- |
| 1 | -5.095 |
| 2 | -3.805 |
| 3 | -7.667 |
| 4 | -8.876 |
| 5 | -4.590 |
| 6 | -5.060 |
| 7 | -4.808 |
| 8 | -6.236 |
| 9 | -9.519 |
| 10 | -6.632 |
| 11 | -5.044 |
| 12 | -2.581 |
| 13 | -2.654 |
| 14 | -6.012 |
| 15 | -5.678 |
| 16 | -5.003 |